No. 1
DFT (PBE) results for CrSiTe2N after structural relaxation.

Unit cell a=5.1457 b=5.1457 c=3.7637 alpha=90.00 beta=90.00 gamma=90.00
Fractional positions:
Cr: 0.0000 0.0000 0.0000
Si: 0.5000 0.5000 0.0000
Te: 0.0000 0.5000 0.5000
Te: 0.5000 0.0000 0.5000
N: 0.0000 0.0000 0.5000

Values from the calculation:
- SG: No. 123
- Calculated total energy: -5.30 eV/atom
- ΔE_f (raw): 629.1 meV per atom

---

No. 2
DFT (PBE) results for ThCr2SiN after structural relaxation.

Unit cell a=5.7162 b=5.7162 c=7.4005 alpha=90.00 beta=90.00 gamma=143.04
Fractional positions:
Th: 0.0384 0.9616 0.7500
Th: 0.9616 0.0384 0.2500
Cr: 0.3252 0.6748 0.5531
Cr: 0.3252 0.6748 0.9469
Cr: 0.6748 0.3252 0.0531
Cr: 0.6748 0.3252 0.4469
Si: 0.2376 0.7624 0.2500
Si: 0.7624 0.2376 0.7500
N: 0.5000 0.5000 0.0000
N: 0.5000 0.5000 0.5000

Values from the calculation:
- SG: No. 63
- Calculated total energy: -8.83 eV/atom
- ΔE_f (raw): -746.3 meV per atom

---

No. 3
DFT (PBE) results for UCr2SiN after structural relaxation.

Unit cell a=5.7204 b=5.7204 c=7.3910 alpha=90.00 beta=90.00 gamma=146.53
Fractional positions:
U: 0.0307 0.9693 0.7500
U: 0.9693 0.0307 0.2500
Cr: 0.3296 0.6704 0.5528
Cr: 0.3296 0.6704 0.9472
Cr: 0.6704 0.3296 0.0528
Cr: 0.6704 0.3296 0.4472
Si: 0.2469 0.7531 0.2500
Si: 0.7531 0.2469 0.7500
N: 0.5000 0.5000 0.0000
N: 0.5000 0.5000 0.5000

Values from the calculation:
- SG: No. 63
- Calculated total energy: -9.49 eV/atom
- ΔE_f (raw): -630.7 meV per atom

---

No. 4
DFT (PBE) results for YCrSi2N after structural relaxation.

Unit cell a=4.1528 b=4.1528 c=4.5000 alpha=90.00 beta=90.00 gamma=90.00
Fractional positions:
Y: 0.0000 0.0000 0.0000
Cr: 0.5000 0.5000 0.0000
Si: 0.0000 0.5000 0.5000
Si: 0.5000 0.0000 0.5000
N: 0.0000 0.0000 0.5000

Values from the calculation:
- SG: No. 123
- Calculated total energy: -6.94 eV/atom
- ΔE_f (raw): 115.8 meV per atom